[1]
VASP calculation (GGA-PBE) on a relaxed DyHoLuTl crystal.

## Properties
ΔH_f (0 K) = -33 meV/atom
volume = 28.2 Å³ per atom
density = 10.397 g/cm³

Cell and atoms, written as CIF:
```
data_DyHoLuTl
_space_group_name_H-M_alt 'F -4 3 m'
_space_group_IT_number 216
_space_group_name_Hall 'F -4 2 3'
_cell_length_a 7.672
_cell_length_b 7.672
_cell_length_c 7.672
_cell_angle_alpha 90.00
_cell_angle_beta 90.00
_cell_angle_gamma 90.00
loop_
_atom_site_label
_atom_site_type_symbol
_atom_site_fract_x
_atom_site_fract_y
_atom_site_fract_z
Dy1 Dy 0.000 0.000 0.000
Ho1 Ho 0.000 0.000 0.500
Lu1 Lu 0.250 0.250 0.750
Tl1 Tl 0.250 0.250 0.250
```

***

[2]
VASP calculation (GGA-PBE) on a relaxed Tl2NiRh crystal.

## Properties
ΔH_f (0 K) = 316 meV/atom
volume = 19.2 Å³ per atom
relative energy among the computed polymorphs = 0.45 eV/f.u.
density = 12.360 g/cm³

Cell and atoms, written as CIF:
```
data_Tl2NiRh
_space_group_name_H-M_alt 'P m m 2'
_space_group_IT_number 25
_space_group_name_Hall 'P 2 -2'
_cell_length_a 3.161
_cell_length_b 4.403
_cell_length_c 5.504
_cell_angle_alpha 90.00
_cell_angle_beta 90.00
_cell_angle_gamma 90.00
loop_
_atom_site_label
_atom_site_type_symbol
_atom_site_fract_x
_atom_site_fract_y
_atom_site_fract_z
Tl1 Tl 0.000 0.000 0.000
Tl2 Tl 0.500 0.500 0.419
Ni1 Ni 0.000 0.000 0.513
Rh1 Rh 0.500 0.500 0.909
```

***

[3]
VASP calculation (GGA-PBE) on a relaxed Sc2TlSn crystal.

## Properties
ΔH_f (0 K) = -354 meV/atom
volume = 23.4 Å³ per atom
relative energy among the computed polymorphs = 0.21 eV/f.u.
density = 7.322 g/cm³

Cell and atoms, written as CIF:
```
data_Sc2TlSn
_space_group_name_H-M_alt 'F m -3 m'
_space_group_IT_number 225
_space_group_name_Hall '-F 4 2 3'
_cell_length_a 7.209
_cell_length_b 7.209
_cell_length_c 7.209
_cell_angle_alpha 90.00
_cell_angle_beta 90.00
_cell_angle_gamma 90.00
loop_
_atom_site_label
_atom_site_type_symbol
_atom_site_fract_x
_atom_site_fract_y
_atom_site_fract_z
Sc1 Sc 0.250 0.250 0.250
Tl1 Tl 0.000 0.000 0.000
Sn1 Sn 0.000 0.000 0.500
```

***

[4]
VASP calculation (GGA-PBE) on a relaxed Ba3Ac2ThSe6 crystal.

## Properties
volume = 32.8 Å³ per atom
density = 6.634 g/cm³
ΔE_f (raw) = -1859 meV/atom

Cell and atoms, written as CIF:
```
data_Ba3Ac2ThSe6
_space_group_name_H-M_alt 'C 1 2/m 1'
_space_group_IT_number 12
_space_group_name_Hall '-C 2y'
_cell_length_a 19.837
_cell_length_b 4.478
_cell_length_c 9.153
_cell_angle_alpha 90.00
_cell_angle_beta 104.57
_cell_angle_gamma 90.00
loop_
_atom_site_label
_atom_site_type_symbol
_atom_site_fract_x
_atom_site_fract_y
_atom_site_fract_z
Ba1 Ba 0.000 0.000 0.000
Ba2 Ba 0.168 0.500 0.334
Ac1 Ac 0.164 0.500 0.829
Th1 Th 0.000 0.000 0.500
Se1 Se 0.001 0.500 0.727
Se2 Se 0.158 0.000 0.586
Se3 Se 0.171 0.000 0.074
```

***

[5]
VASP calculation (GGA-PBE) on a relaxed AlAgPt2 crystal.

## Properties
ΔH_f (0 K) = -460 meV/atom
volume = 15.7 Å³ per atom
relative energy among the computed polymorphs = 0.78 eV/f.u.
density = 13.906 g/cm³

Cell and atoms, written as CIF:
```
data_AlAgPt2
_space_group_name_H-M_alt 'F m -3 m'
_space_group_IT_number 225
_space_group_name_Hall '-F 4 2 3'
_cell_length_a 6.306
_cell_length_b 6.306
_cell_length_c 6.306
_cell_angle_alpha 90.00
_cell_angle_beta 90.00
_cell_angle_gamma 90.00
loop_
_atom_site_label
_atom_site_type_symbol
_atom_site_fract_x
_atom_site_fract_y
_atom_site_fract_z
Al1 Al 0.000 0.000 0.000
Ag1 Ag 0.000 0.000 0.500
Pt1 Pt 0.250 0.250 0.250
```

***

[6]
VASP calculation (GGA-PBE) on a relaxed PaReOs crystal.

## Properties
ΔH_f (0 K) = -263 meV/atom
volume = 18.5 Å³ per atom
relative energy among the computed polymorphs = 0.00 eV/f.u.
density = 18.222 g/cm³

Cell and atoms, written as CIF:
```
data_PaReOs
_space_group_name_H-M_alt 'A m m 2'
_space_group_IT_number 38
_space_group_name_Hall 'A 2 -2'
_cell_length_a 8.375
_cell_length_b 5.430
_cell_length_c 9.739
_cell_angle_alpha 90.00
_cell_angle_beta 90.00
_cell_angle_gamma 90.00
loop_
_atom_site_label
_atom_site_type_symbol
_atom_site_fract_x
_atom_site_fract_y
_atom_site_fract_z
Pa1 Pa 0.174 0.000 0.000
Pa2 Pa 0.323 0.000 0.662
Re1 Re 0.249 0.000 0.333
Re2 Re 0.500 0.244 0.912
Os1 Os 0.000 0.000 0.501
Os2 Os 0.000 0.243 0.747
Os3 Os 0.500 0.000 0.157
```

***

density of number 1 (DyHoLuTl)?
10.397 g/cm³

***

Which value of volume does entry 6 give?
18.5 Å³ per atom

***

Which of these has the highest density?
PaReOs